Here is an optimized crystal structure of YTaFe2 from the Alexandria database. Energies are from PBE.

Cell: 6.9499 6.9499 5.8879 Å, 90.00 90.00 90.00°
Space group I-42d (No. 122)
Inequivalent atoms, fractional coordinates:
Y1 0.0000 0.0000 0.0000 [4 per cell]
Ta1 0.0000 0.0000 0.5000 [4 per cell]
Fe1 0.2146 0.2500 0.6250 [8 per cell]

Results
The formation energy is 55.5 kJ/mol of atoms. The mass density comes out at 8.91 g/cm³.